# MnTlMoO4

A relaxed structure of MnTlMoO4 (GGA+U, the Alexandria database).

a b c (Å): 6.0085 5.8589 8.0478
angles (deg): 90.00 100.08 90.00
Space group P2_1/m (No. 11)
Unique sites:
Mn 0.1145 0.2500 0.4729 x2
Tl 0.1279 0.2500 0.9136 x2
Mo 0.3741 0.7500 0.7547 x2
O 0.1575 0.5191 0.6539 x4
O 0.3623 0.2500 0.3275 x2
O 0.3827 0.7500 0.9786 x2

Output
- calculated density (g/cm³) = 4.99
- D(E_F) (states/eV per cell) = 0.0

---

# MnTlMoO2

A relaxed structure of MnTlMoO2 (GGA+U, the Alexandria database).

a b c (Å): 3.9456 3.9456 5.6811
angles (deg): 90.00 90.00 90.00
Space group P4/mmm (No. 123)
Unique sites:
Mn 0.0000 0.0000 0.0000 x1
Tl 0.5000 0.5000 0.0000 x1
Mo 0.0000 0.0000 0.5000 x1
O 0.0000 0.5000 0.5000 x2

Output
- calculated density (g/cm³) = 7.27
- D(E_F) (states/eV per cell) = 3.9

---

# MnTlMoO6

A relaxed structure of MnTlMoO6 (GGA+U, the Alexandria database).

a b c (Å): 5.1950 5.1950 5.0345
angles (deg): 90.00 90.00 120.00
Space group P312 (No. 149)
Unique sites:
Mn 0.0000 0.0000 0.0000 x1
Tl 0.6667 0.3333 0.5000 x1
Mo 0.3333 0.6667 0.0000 x1
O 0.0442 0.3323 0.7871 x6

Output
- calculated density (g/cm³) = 6.37
- D(E_F) (states/eV per cell) = 2.3

---

# Mn3Tl3MoO8

A relaxed structure of Mn3Tl3MoO8 (GGA+U, the Alexandria database).

a b c (Å): 11.5503 6.0477 7.4978
angles (deg): 90.00 119.59 90.00
Space group C2/m (No. 12)
Unique sites:
Mn 0.0000 0.0000 0.0000 x2
Mn 0.2500 0.2500 0.0000 x4
Tl 0.0000 0.5000 0.5000 x2
Tl 0.2500 0.2500 0.5000 x4
Mo 0.0000 0.5000 0.0000 x2
O 0.0125 0.2451 0.8311 x8
O 0.2113 0.5000 0.1468 x4
O 0.2295 0.0000 0.1516 x4

Output
- calculated density (g/cm³) = 7.31
- D(E_F) (states/eV per cell) = 5.1

---

# TmMnMoO6

A relaxed structure of TmMnMoO6 (GGA+U, the Alexandria database).

a b c (Å): 5.3482 5.3482 4.4391
angles (deg): 90.00 90.00 120.00
Space group P312 (No. 149)
Unique sites:
Tm 0.0000 0.0000 0.0000 x1
Mn 0.6667 0.3333 0.5000 x1
Mo 0.3333 0.6667 0.0000 x1
O 0.0208 0.3689 0.2426 x6

Output
- calculated density (g/cm³) = 6.28
- D(E_F) (states/eV per cell) = 3.6

---

# MnV2MoO6

A relaxed structure of MnV2MoO6 (GGA+U, the Alexandria database).

a b c (Å): 5.2616 5.2630 5.6062
angles (deg): 91.22 117.27 118.89
Space group P1 (No. 1)
Unique sites:
Mn 0.0000 0.0000 0.0000 x1
V 0.5683 0.2845 0.8505 x1
V 0.5797 0.7974 0.3668 x1
Mo 0.9740 0.4860 0.4613 x1
O 0.0727 0.4173 0.1563 x1
O 0.0943 0.2042 0.6470 x1
O 0.4686 0.9019 0.6481 x1
O 0.4880 0.0764 0.1598 x1
O 0.7490 0.6695 0.1584 x1
O 0.7549 0.5763 0.6426 x1

Output
- calculated density (g/cm³) = 5.04

---

# MnZnMoO4

A relaxed structure of MnZnMoO4 (GGA+U, the Alexandria database).

a b c (Å): 6.2227 6.3455 8.5859
angles (deg): 90.00 90.00 90.00
Space group Imma (No. 74)
Unique sites:
Mn 0.2500 0.2500 0.2500 x4
Zn 0.0000 0.2500 0.6247 x4
Mo 0.0000 0.0000 0.0000 x4
O 0.0000 0.0187 0.2502 x8
O 0.2338 0.2500 0.0185 x8

Output
- calculated density (g/cm³) = 5.49
- D(E_F) (states/eV per cell) = 6.0

---

no.,total energy (eV per atom)
1,-6.65
2,-5.74
3,-6.45
4,-6.35
5,-7.40
6,-7.77
7,-6.63